No. 1
12
Lattice="15.2093 0.0000 0.0000 0.0000 4.1687 0.0000 -3.3279 0.0000 6.3387" Properties=species:S:1:pos:R:3 comment="PBE PaSbSe4, relaxed" total_magnetization_mub_per_cell=0.00 space_group="No. 12" e_form_raw_ev_per_atom=-0.89 pbc="T T T"
Pa 0.0000 0.0000 0.0000
Pa 7.6046 2.0844 0.0000
Sb -1.6639 2.0844 3.1694
Sb 5.9407 0.0000 3.1694
Se 0.8265 2.0844 1.7126
Se -0.9071 0.0000 5.0264
Se 5.1839 2.0844 1.3123
Se 3.4502 0.0000 4.6261
Se 8.4312 0.0000 1.7126
Se 6.6975 2.0844 5.0264
Se 12.7885 0.0000 1.3123
Se 11.0549 2.0844 4.6261

No. 2
4
Lattice="3.9344 0.0000 0.0000 0.0000 3.9344 0.0000 0.0000 0.0000 4.0408" Properties=species:S:1:pos:R:3 comment="PBE Ti2GaPd, relaxed" total_magnetization_mub_per_cell=0.07 space_group="No. 123" formation_energy_ev_per_atom=-0.51 pbc="T T T"
Ti 0.0000 1.9672 0.0000
Ti 1.9672 0.0000 0.0000
Ga 0.0000 0.0000 2.0204
Pd 1.9672 1.9672 2.0204